Density functional theory data (PBE) for a relaxed structure of TiIn2Cu9.

Lattice parameters (Å, degrees): 4.9532 4.9532 8.5766 73.22 73.22 60.00
Site moments in Bohr magnetons follow the coordinates.
Sites, in units of the cell vectors:
Cu 0.3336 0.3336 0.9993  0.00
Cu 0.5842 0.5842 0.7517  0.01
Cu 0.4158 0.9201 0.2483  0.01
Cu 0.5000 0.5000 0.5000  0.00
Cu 0.6664 0.6664 0.0007  0.00
Cu 0.5842 0.0799 0.7517  0.01
Cu 0.9201 0.4158 0.2483  0.01
Cu 0.4158 0.4158 0.2483  0.01
Cu 0.0799 0.5842 0.7517  0.01
Ti 0.0000 0.0000 0.0000  0.30
In 0.8626 0.8626 0.4123  0.00
In 0.1374 0.1374 0.5877  0.00

***

Density functional theory data (PBE) for a relaxed structure of Ti2In4Cu.

Lattice parameters (Å, degrees): 5.7731 5.7731 5.7731 112.33 108.06 108.06
Sites, in units of the cell vectors:
In 0.5000 0.5000 0.5000
In 0.0000 0.0000 0.5000
In 0.5000 0.0000 0.0000
In 0.0000 0.5000 0.0000
Cu 0.0000 0.0000 0.0000
Ti 0.5000 0.0000 0.5000
Ti 0.5000 0.5000 0.0000

***

So what do the calculations give for formation enthalpy at 0 K? Going down the list: 26, -4 meV per atom.